No. 1
## Co2SiSb (PBE-GGA)

Data for Co2SiSb after structural relaxation.

The structure in POSCAR format:
```
Co2SiSb
1.0
2.8889 -2.8878 0.0000
2.8889 2.8878 0.0000
-0.0103 0.0000 3.2542
Co Si Sb
2 1 1
direct
0.0000 0.5000 0.0000
0.5000 0.0000 0.0000
0.0000 0.0000 0.5000
0.5000 0.5000 0.5000
```

Mass density (Mg/m³): 8.2
Total energy (eV/cell): -23.23
ΔE to the lowest computed polymorph (eV per formula unit): 0.95
SG: C2/m
Fermi-level density of states (states/eV per cell): 3.01

---

No. 2
## Co2SiSb (PBE-GGA)

Data for Co2SiSb after structural relaxation.

The structure in POSCAR format:
```
Co2SiSb
1.0
2.8739 0.0000 0.0000
0.0000 2.8799 0.0000
0.0000 0.0000 6.9489
Co Si Sb
2 1 1
direct
0.0000 0.0000 0.1808
0.0000 0.0000 0.8192
0.5000 0.5000 0.0000
0.0000 0.5000 0.5000
```

Mass density (Mg/m³): 7.7
Total energy (eV/cell): -24.11
ΔE to the lowest computed polymorph (eV per formula unit): 0.07
SG: Pmmm
Fermi-level density of states (states/eV per cell): 3.43

---

No. 3
## CoSiSb2 (PBE-GGA)

Data for CoSiSb2 after structural relaxation.

The structure in POSCAR format:
```
CoSiSb2
1.0
3.8017 0.0000 0.0000
0.0000 3.8554 0.0000
-0.0095 0.0000 5.4160
Co Si Sb
1 1 2
direct
0.0000 0.0000 0.0000
0.5000 0.5000 0.5000
0.0000 0.0000 0.5000
0.5000 0.5000 0.0000
```

Mass density (Mg/m³): 6.9
Total energy (eV/cell): -19.45
SG: P2/m
Fermi-level density of states (states/eV per cell): 2.77

---

No. 4
## CoSiSb2 (PBE-GGA)

Data for CoSiSb2 after structural relaxation.

The structure in POSCAR format:
```
CoSiSb2
1.0
-1.9620 2.6606 3.8048
1.9620 -2.6606 3.8048
1.9620 2.6606 -3.8048
Co Si Sb
1 1 2
direct
0.0000 0.0000 0.0000
0.5000 0.5000 0.0000
0.2323 0.7323 0.5000
0.7677 0.2677 0.5000
```

Mass density (Mg/m³): 6.9
Total energy (eV/cell): -18.61
SG: Immm
Fermi-level density of states (states/eV per cell): 2.69

---

No. 5
## Co2SiSb (PBE-GGA)

Data for Co2SiSb after structural relaxation.

The structure in POSCAR format:
```
Co2SiSb
1.0
-1.7945 1.7945 4.2098
1.7945 -1.7945 4.2098
1.7945 1.7945 -4.2098
Co Si Sb
2 1 1
direct
0.0000 0.0000 0.0000
0.7500 0.2500 0.5000
0.5000 0.5000 0.0000
0.2500 0.7500 0.5000
```

Mass density (Mg/m³): 8.2
Total energy (eV/cell): -23.17
ΔE to the lowest computed polymorph (eV per formula unit): 1.01
SG: I-4m2
Fermi-level density of states (states/eV per cell): 1.47

---

No. 6
## CoSiSb2 (PBE-GGA)

Data for CoSiSb2 after structural relaxation.

The structure in POSCAR format:
```
CoSiSb2
1.0
3.1997 -3.7411 0.0000
3.1997 3.7411 0.0000
-0.7634 0.0000 3.2438
Co Si Sb
1 1 2
direct
0.0000 0.0000 0.0000
0.5000 0.5000 0.0000
0.0000 0.5000 0.5000
0.5000 0.0000 0.5000
```

Mass density (Mg/m³): 7.1
Total energy (eV/cell): -18.67
SG: C2/m
Fermi-level density of states (states/eV per cell): 3.53